Arrangement 1

Material: TaTcGe2Se
Method: DFT, PBE
State: optimized geometry

Values from the calculation:
magnetization: 0.00 Bohr magnetons per cell

Lattice parameters (Å, degrees): 4.8868 4.8868 4.4517 90.00 90.00 90.00
Closest atoms and distances in Å follow each position.
Atoms (fractional coordinates):
Ta (0.0000, 0.0000, 0.0000)  8 Ge 3.31, 4 Tc 3.46
Tc (0.5000, 0.5000, 0.0000)  2 Se 2.23
Ge (0.0000, 0.5000, 0.5000)  2 Se 2.44
Ge (0.5000, 0.0000, 0.5000)  2 Se 2.44
Se (0.5000, 0.5000, 0.5000)  2 Tc 2.23, 4 Ge 2.44

***

Arrangement 2

Material: TaTcGe2Se
Method: DFT, PBE
State: optimized geometry

Values from the calculation:
magnetization: 4.11 Bohr magnetons per cell

Lattice parameters (Å, degrees): 5.0533 5.0533 4.8888 90.00 90.00 90.00
Closest atoms and distances in Å follow each position.
Atoms (fractional coordinates):
Ta (0.0000, 0.0000, 0.0000)  2 Se 2.44, 4 Ge 2.53
Tc (0.5000, 0.5000, 0.5000)  8 Ge 3.52, 4 Se 3.57
Ge (0.0000, 0.5000, 0.0000)  2 Ta 2.53
Ge (0.5000, 0.0000, 0.0000)  2 Ta 2.53
Se (0.0000, 0.0000, 0.5000)  2 Ta 2.44

***

Pick arrangement 2: it beats the second-best structure by 333 meV per atom.

***

Arrangement 1

Material: TbGeSe3
Method: DFT, PBE
State: optimized geometry

Values from the calculation:
magnetization: 0.00 Bohr magnetons per cell

Lattice parameters (Å, degrees): 4.4387 11.7121 11.7121 147.72 90.00 90.00
Closest atoms and distances in Å follow each position.
Atoms (fractional coordinates):
Tb (0.2500, 0.1722, 0.8278)  6 Se 2.86-2.98
Tb (0.7500, 0.8278, 0.1722)  6 Se 2.86-2.98
Ge (0.2500, 0.3065, 0.5406)  4 Se 2.44-2.53
Ge (0.7500, 0.5406, 0.3065)  4 Se 2.44-2.53
Se (0.2500, 0.0399, 0.4778)  1 Ge 2.53
Se (0.2500, 0.3810, 0.2247)  2 Ge 2.51
Se (0.2500, 0.6820, 0.9160)  1 Ge 2.44
Se (0.7500, 0.2247, 0.3810)  2 Ge 2.51
Se (0.7500, 0.4778, 0.0399)  1 Ge 2.53
Se (0.7500, 0.9160, 0.6820)  1 Ge 2.44

***

Arrangement 2

Material: TbGeSe3
Method: DFT, PBE
State: optimized geometry

Values from the calculation:
magnetization: 0.00 Bohr magnetons per cell

Lattice parameters (Å, degrees): 7.3955 6.6949 10.8370 90.00 90.00 90.00
Closest atoms and distances in Å follow each position.
Atoms (fractional coordinates):
Tb (0.1322, 0.0823, 0.0000)  6 Se 2.83-2.91
Tb (0.3678, 0.5823, 0.5000)  6 Se 2.83-2.91
Tb (0.6322, 0.4177, 0.0000)  6 Se 2.83-2.91
Tb (0.8678, 0.9177, 0.5000)  6 Se 2.83-2.91
Ge (0.1029, 0.5564, 0.1586)  3 Se 2.44-2.66
Ge (0.3971, 0.0564, 0.6586)  3 Se 2.44-2.66
Ge (0.6029, 0.9436, 0.1586)  3 Se 2.44-2.66
Ge (0.8971, 0.4436, 0.6586)  3 Se 2.44-2.66
Se (0.1209, 0.7539, 0.6768)  2 Ge 2.66-2.88, 2 Tb 2.89
Se (0.1228, 0.2471, 0.5248)  2 Ge 2.57-2.80
Se (0.1427, 0.7873, 0.3308)  1 Ge 2.44
Se (0.3573, 0.2873, 0.8308)  1 Ge 2.44
Se (0.3772, 0.7471, 0.0248)  2 Ge 2.57-2.80
Se (0.3791, 0.2539, 0.1768)  2 Ge 2.66-2.88, 2 Tb 2.89
Se (0.6209, 0.7461, 0.6768)  2 Ge 2.66-2.88, 2 Tb 2.89
Se (0.6228, 0.2529, 0.5248)  2 Ge 2.57-2.80
Se (0.6427, 0.7127, 0.3308)  1 Ge 2.44
Se (0.8573, 0.2127, 0.8308)  1 Ge 2.44
Se (0.8772, 0.7529, 0.0248)  2 Ge 2.57-2.80
Se (0.8791, 0.2461, 0.1768)  2 Ge 2.66-2.88, 2 Tb 2.89

***

Pick arrangement 1: it beats the second-best structure by 50 meV per atom.